Computed, not measured: crystalline Ba2MnGe2O7 at its relaxed geometry at the PBE+U level of DFT.

Lattice parameters (Å, degrees): 5.6130 8.6249 8.6249 90.00 90.00 90.00
Closest atoms and distances in Å follow each position.
Fractional positions:
Mn1 0.0000 0.5000 0.5000  4 O 2.08
O1 0.1947 0.6891 0.5786  1 Ge 1.78
O2 0.7350 0.8618 0.6382  1 Ge 1.74
Ge1 0.9544 0.6389 0.1389  4 O 1.74-1.83
O3 0.1947 0.3109 0.4214  1 Ge 1.78
O4 0.2650 0.6382 0.1382  1 Ge 1.74
Ge2 0.9544 0.3611 0.8611  4 O 1.74-1.83
Ba1 0.5080 0.8342 0.3342  8 O 2.75-3.02
Mn2 0.0000 0.0000 0.0000  4 O 2.08
Ge3 0.0456 0.8611 0.6389  4 O 1.74-1.83
O5 0.8053 0.4214 0.6891  1 Ge 1.78
Ba2 0.4920 0.3342 0.1658  8 O 2.75-3.02
O6 0.8335 0.5000 0.0000  2 Ge 1.83
O7 0.7350 0.1382 0.3618  1 Ge 1.74
O8 0.1665 0.0000 0.5000  2 Ge 1.83
O9 0.8053 0.8109 0.0786  1 Ge 1.78
Ge4 0.0456 0.1389 0.3611  4 O 1.74-1.83
O10 0.1947 0.0786 0.1891  1 Ge 1.78
O11 0.8053 0.5786 0.3109  1 Ge 1.78
Ba3 0.5080 0.1658 0.6658  8 O 2.75-3.02
O12 0.1947 0.9214 0.8109  1 Ge 1.78
O13 0.2650 0.3618 0.8618  1 Ge 1.74
O14 0.8053 0.1891 0.9214  1 Ge 1.78
Ba4 0.4920 0.6658 0.8342  8 O 2.75-3.02

Computed properties:
VASP energy = -163.6 eV per cell
total magnetic moment = 10.0 μB/cell